# 1
Below is a relaxed structure of Ca3Sm, with properties calculated at the PBE level.

Cell lengths 3.772, 6.216, 6.656 Å; angles 90.00, 90.00, 90.00 degrees
Element x y z (fractional)
Sm  0.000  0.000  0.003
Ca  0.000  0.500  0.324
Ca  0.500  0.500  0.838
Ca  0.500  0.000  0.502

Values from the calculation:
Calculated formation energy   0.09 eV/atom
Total magnetization   0.20 μB/f.u.
Calculated volume   156 Å³/cell

***

# 2
Below is a relaxed structure of GaSb2As, with properties calculated at the PBE level.

Cell lengths 5.074, 5.074, 5.074 Å; angles 60.00, 60.00, 60.00 degrees
Element x y z (fractional)
Ga  0.000  0.000  0.000
As  0.500  0.500  0.500
Sb  0.750  0.750  0.750
Sb  0.250  0.250  0.250

Values from the calculation:
Energy relative to the elements, uncorrected   242 meV/atom
Total magnetization   0.00 μB/f.u.
Calculated volume   92 Å³/cell

***

# 3
Below is a relaxed structure of CrSbBr2, with properties calculated at the PBE level.

Cell lengths 5.366, 5.366, 3.503 Å; angles 90.00, 90.00, 95.81 degrees
Element x y z (fractional)
Br  0.500  0.500  0.000
Cr  0.500  0.000  0.500
Br  0.000  0.000  0.000
Sb  0.000  0.500  0.500

Values from the calculation:
Energy relative to the elements, uncorrected   376 meV/atom
Total magnetization   4.68 μB/f.u.
Calculated volume   100 Å³/cell

***

# 4
Below is a relaxed structure of Na3HfTi2Se6, with properties calculated at the PBE level.

Cell lengths 6.601, 6.601, 7.388 Å; angles 98.53, 98.53, 120.39 degrees
Element x y z (fractional)
Se  0.270  0.270  0.791
Ti  0.679  0.321  0.000
Se  0.077  0.411  0.220
Se  0.589  0.923  0.780
Se  0.411  0.077  0.220
Hf  0.000  0.000  0.000
Na  0.500  0.500  0.500
Na  0.161  0.839  0.500
Se  0.730  0.730  0.209
Na  0.839  0.161  0.500
Ti  0.321  0.679  0.000
Se  0.923  0.589  0.780

Values from the calculation:
Energy relative to the elements, uncorrected   -1213 meV/atom
Total magnetization   2.79 μB/f.u.
Calculated volume   265 Å³/cell